DFT (PBE) results for a geometry-optimized Zn10Ag4Au structure.

Results
ρ   8.5 g/cm³

a b c (Å): 8.978 7.466 8.232
angles (deg): 90.00 115.34 90.00
Space group C2/m (No. 12)
Asymmetric unit:
1 Zn 0.000 0.180 0.000 [4 per cell]
2 Zn 0.098 0.318 0.400 [8 per cell]
3 Zn 0.203 0.179 0.798 [8 per cell]
4 Ag 0.100 0.500 0.899 [4 per cell]
5 Ag 0.202 0.000 0.301 [4 per cell]
6 Au 0.000 0.000 0.500 [2 per cell]


DFT (PBE) results for a geometry-optimized ZnAg3Au5 structure.

Results
ρ   13.0 g/cm³

a b c (Å): 8.026 8.026 10.901
angles (deg): 90.00 90.00 90.00
Space group I4/mcm (No. 140)
Asymmetric unit:
1 Zn 0.000 0.500 0.250 [4 per cell]
2 Ag 0.000 0.000 0.250 [4 per cell]
3 Ag 0.114 0.386 0.000 [8 per cell]
4 Au 0.000 0.000 0.000 [4 per cell]
5 Au 0.193 0.307 0.362 [16 per cell]


DFT (PBE) results for a geometry-optimized Zn4Ag2Au3 structure.

Results
ρ   12.0 g/cm³

a b c (Å): 8.118 4.312 8.486
angles (deg): 90.00 95.57 90.00
Space group C2/m (No. 12)
Asymmetric unit:
1 Zn 0.002 0.000 0.335 [4 per cell]
2 Zn 0.169 0.500 0.899 [4 per cell]
3 Ag 0.163 0.500 0.224 [4 per cell]
4 Au 0.000 0.000 0.000 [2 per cell]
5 Au 0.166 0.500 0.581 [4 per cell]


no.,ΔE_f (eV per atom)
1,-0.01
2,0.15
3,-0.15